[1]
Compound: Ba2LaOs
Source: Alexandria via LeMat-Bulk
Functional: GGA-PBE
Structure: optimized geometry

Output
crystal system: tetragonal
space-group type: No. 139
calculated formation energy: 0.68 eV per atom
distance to the lowest polymorph of the same formula: 484 meV/atom
calculated total energy: -4.324 eV per atom

Geometry as POSCAR:
```
Ba2LaOs
1.0
-2.505 5.474 -2.694
-6.453 1.298 0.420
4.985 -1.777 3.936
Os Ba La
1 2 1
Direct
0.750 0.250 0.500
0.000 0.000 0.000
0.500 0.500 0.000
0.250 0.750 0.500
```

[2]
Compound: BeReOs2
Source: Alexandria via LeMat-Bulk
Functional: GGA-PBE
Structure: optimized geometry

Output
crystal system: tetragonal
space-group type: No. 122
calculated formation energy: 0.69 eV per atom
calculated total energy: -8.972 eV per atom

Geometry as POSCAR:
```
BeReOs2
1.0
-3.035 0.641 -2.160
-2.208 -1.567 2.637
-3.610 6.992 3.842
Re Os Be
2 4 2
Direct
0.000 0.000 0.000
0.750 0.250 0.500
0.581 0.125 0.250
0.169 0.625 0.250
0.375 0.419 0.750
0.875 0.831 0.750
0.500 0.500 0.000
0.250 0.750 0.500
```

[3]
Compound: GaNi3W
Source: Alexandria via LeMat-Bulk
Functional: GGA-PBE
Structure: optimized geometry

Output
crystal system: cubic
space-group type: No. 221
calculated formation energy: 1.33 eV per atom
distance to the lowest polymorph of the same formula: 236 meV/atom
calculated total energy: -5.330 eV per atom

Geometry as POSCAR:
```
GaNi3W
1.0
4.554 0.000 0.000
0.000 4.554 0.000
0.000 0.000 4.554
Ni Ga W
3 1 1
Direct
0.000 0.500 0.000
0.000 0.000 0.500
0.500 0.000 0.000
0.500 0.500 0.500
0.000 0.000 0.000
```

[4]
Compound: Pm2MnGa3Pt4
Source: Alexandria via LeMat-Bulk
Functional: GGA-PBE
Structure: optimized geometry

Output
crystal system: tetragonal
space-group type: No. 115
calculated formation energy: -0.87 eV per atom
calculated total energy: -6.062 eV per atom

Geometry as POSCAR:
```
Pm2MnGa3Pt4
1.0
4.133 0.000 0.000
0.000 4.133 0.000
0.000 0.000 11.169
Pm Mn Ga Pt
2 1 3 4
Direct
0.500 0.000 0.249
0.000 0.500 0.751
0.500 0.500 0.500
0.000 0.000 0.500
0.500 0.000 0.867
0.000 0.500 0.133
0.500 0.500 0.000
0.000 0.000 0.000
0.500 0.000 0.643
0.000 0.500 0.357
```

[5]
Compound: SrSc2Cl
Source: Alexandria via LeMat-Bulk
Functional: GGA-PBE
Structure: optimized geometry

Output
ΔE_f (raw): -491 meV per atom
crystal system: orthorhombic
space-group type: No. 38
distance to the lowest polymorph of the same formula: 86 meV/atom
calculated total energy: -4.539 eV per atom

Geometry as POSCAR:
```
SrSc2Cl
1.0
3.450 0.000 0.000
0.000 5.003 -0.004
0.000 2.506 6.168
Cl Sc Sr
1 2 1
Direct
0.500 0.989 0.647
0.000 0.791 0.042
0.500 0.208 0.210
0.000 0.512 0.601
```

[6]
Compound: Tb8Cd2Rh
Source: Alexandria via LeMat-Bulk
Functional: GGA-PBE
Structure: optimized geometry

Output
crystal system: monoclinic
space-group type: No. 12
calculated formation energy: -0.25 eV per atom
calculated total energy: -4.447 eV per atom

Geometry as POSCAR:
```
Tb8Cd2Rh
1.0
-4.354 2.893 1.267
-0.537 -3.446 6.020
7.218 5.680 0.418
Tb Cd Rh
8 2 1
Direct
0.408 0.578 0.816
0.651 0.947 0.301
0.803 0.717 0.606
0.980 0.218 0.960
0.197 0.283 0.394
0.349 0.053 0.699
0.592 0.422 0.184
0.020 0.782 0.040
0.817 0.294 0.634
0.183 0.706 0.366
0.500 0.000 0.000
```

[7]
Compound: Rb3U2HgO9
Source: Alexandria via LeMat-Bulk
Functional: GGA-PBE
Structure: optimized geometry

Output
ΔE_f (raw): -2241 meV per atom
crystal system: trigonal
space-group type: No. 164
calculated total energy: -6.934 eV per atom

Geometry as POSCAR:
```
Rb3U2HgO9
1.0
-4.346 0.948 4.301
5.893 -0.843 1.689
1.200 7.505 -0.441
Rb U Hg O
3 2 1 9
Direct
0.333 0.667 0.655
0.000 0.000 0.000
0.667 0.333 0.345
0.333 0.667 0.164
0.667 0.333 0.836
0.000 0.000 0.500
0.822 0.178 0.688
0.822 0.643 0.688
0.357 0.178 0.688
0.643 0.822 0.312
0.178 0.357 0.312
0.178 0.822 0.312
0.500 0.000 0.000
0.000 0.500 0.000
0.500 0.500 0.000
```

[8]
Compound: KIn2P
Source: Alexandria via LeMat-Bulk
Functional: GGA-PBE
Structure: optimized geometry

Output
crystal system: monoclinic
space-group type: No. 6
calculated formation energy: -0.11 eV per atom
calculated total energy: -3.101 eV per atom

Geometry as POSCAR:
```
KIn2P
1.0
-3.414 1.459 1.746
1.694 -0.793 3.974
3.479 5.866 1.900
In K P
2 1 1
Direct
0.000 0.801 0.016
0.500 0.240 0.142
0.000 0.527 0.561
0.500 0.932 0.781
```

[9]
Compound: BeAg2As
Source: Alexandria via LeMat-Bulk
Functional: GGA-PBE
Structure: optimized geometry

Output
crystal system: tetragonal
space-group type: No. 123
calculated formation energy: 0.29 eV per atom
distance to the lowest polymorph of the same formula: 76 meV/atom
calculated total energy: -3.232 eV per atom

Geometry as POSCAR:
```
BeAg2As
1.0
-3.027 0.996 -2.353
-2.461 -0.157 3.100
0.715 3.991 0.770
Be As Ag
1 1 2
Direct
0.000 0.500 0.500
0.500 0.000 0.500
0.000 0.000 0.000
0.500 0.500 0.000
```

[10]
Compound: HgPb5
Source: Alexandria via LeMat-Bulk
Functional: GGA-PBE
Structure: optimized geometry

Output
crystal system: orthorhombic
space-group type: No. 38
calculated formation energy: 0.01 eV per atom
distance to the lowest polymorph of the same formula: 13 meV/atom
calculated total energy: -3.127 eV per atom

Geometry as POSCAR:
```
HgPb5
1.0
-0.888 -0.532 9.312
-2.255 -0.946 -9.045
2.424 -5.166 -0.064
Hg Pb
1 5
Direct
0.002 0.998 0.000
0.339 0.661 0.000
0.670 0.330 0.000
0.442 0.558 0.500
0.776 0.224 0.500
0.105 0.895 0.500
```

[11]
Compound: YGe2HIr
Source: Alexandria via LeMat-Bulk
Functional: GGA-PBE
Structure: optimized geometry

Output
crystal system: tetragonal
space-group type: No. 123
calculated total energy: -5.708 eV per atom

Geometry as POSCAR:
```
YGe2HIr
1.0
4.989 0.000 0.000
0.000 3.480 0.000
0.000 0.000 4.989
Y H Ge Ir
1 1 2 1
Direct
0.500 0.500 0.500
0.000 0.500 0.000
0.000 0.000 0.500
0.500 0.000 0.000
0.000 0.000 0.000
```

[12]
Compound: MnHg2Rh
Source: Alexandria via LeMat-Bulk
Functional: GGA-PBE
Structure: optimized geometry

Output
crystal system: monoclinic
space-group type: No. 10
calculated formation energy: 0.22 eV per atom
distance to the lowest polymorph of the same formula: 133 meV/atom
calculated total energy: -4.060 eV per atom

Geometry as POSCAR:
```
MnHg2Rh
1.0
3.312 0.000 0.000
0.000 4.861 -0.019
0.000 3.573 4.505
Hg Mn Rh
2 1 1
Direct
0.000 0.000 0.000
0.500 0.500 0.000
0.500 0.500 0.500
0.000 0.000 0.500
```

- Which of these has the highest calculated total energy?
  KIn2P

- Number 12 is which compound?
  MnHg2Rh